First-principles (PBE+U) data for a relaxed structure of CoCu2F8, as listed in the Alexandria database.

Results
SG: C2/m
Uncorrected energy (eV per atom): -4.05

Unit cell a=5.4299 b=5.4299 c=4.8682 alpha=98.66 beta=98.66 gamma=88.72
Fractional coordinates of all 11 atoms:
Co: 0.0000 0.0000 0.0000
Cu: 0.3110 0.3110 0.5068
Cu: 0.6890 0.6890 0.4932
F: 0.0346 0.7137 0.7539
F: 0.1927 0.1927 0.7912
F: 0.2863 0.9654 0.2461
F: 0.4580 0.4580 0.2522
F: 0.5420 0.5420 0.7478
F: 0.7137 0.0346 0.7539
F: 0.8073 0.8073 0.2088
F: 0.9654 0.2863 0.2461